Here is a relaxed LaBC2S crystal from the Alexandria database. Energies are from PBE-GGA.

POSCAR file:
```
LaBC2S
1.0
-1.218 2.683 -2.752
-0.933 -2.852 -2.367
-3.715 -0.083 1.564
S B C La
1 1 2 1
direct
0.000 0.000 0.000 S
0.000 0.500 0.000 B
0.000 0.000 0.500 C
0.500 0.000 0.000 C
0.500 0.500 0.500 La
```

Its space group is P4/mmm. Its crystal system is tetragonal. For the total DFT energy (no corrections), the calculation gives -5.423 eV/atom. The calculation puts the raw formation energy at 1.4128 eV/atom.